A geometry-optimized La2AlRhO6 structure. Source: the Alexandria database, functional PBE.

a b c (Å): 7.7886 7.7886 7.7886
angles (deg): 90.00 90.00 90.00
Space group Fm-3m (No. 225)
One atom of each set of equivalent atoms:
La 0.2500 0.2500 0.2500 (multiplicity 8)
Al 0.0000 0.0000 0.0000 (multiplicity 4)
Rh 0.0000 0.0000 0.5000 (multiplicity 4)
O 0.0000 0.0000 0.2410 (multiplicity 24)

Properties
The uncorrected formation energy comes out at -2.62 eV per atom. The magnetization comes out at 0.000 μB/cell.

=====

A geometry-optimized VSb2HI structure. Source: the Alexandria database, functional PBE.

a b c (Å): 5.0869 5.0869 5.7992
angles (deg): 90.00 90.00 90.00
Space group P4/mmm (No. 123)
One atom of each set of equivalent atoms:
V 0.0000 0.0000 0.0000 (multiplicity 1)
Sb 0.0000 0.5000 0.0000 (multiplicity 2)
H 0.5000 0.5000 0.5000 (multiplicity 1)
I 0.0000 0.0000 0.5000 (multiplicity 1)

Properties
The magnetization comes out at 1.673 μB/cell. The calculated total energy is -3.771 eV per atom.